[1]
The following is a PBE calculation of Ca2MgZn2Cd5 after structural relaxation, from Alexandria.

## Properties
- calculated density (g/cm³) = 5.7
- energy of formation from the pure elements (eV/atom) = -0.221

Lattice parameters (Å, degrees): 10.4344 10.4344 4.2444 90.00 90.00 90.00
With the nearest neighbours (Å) after each atom.
Space group P4/mbm (No. 127)
Inequivalent atoms, fractional coordinates:
Ca 0.1781 0.3219 0.0000 (multiplicity 4)  3 Zn 2.99-3.16
Mg 0.0000 0.0000 0.0000 (multiplicity 2)  8 Cd 3.07
Zn 0.1190 0.6190 0.0000 (multiplicity 4)  6 Cd 2.75-2.88, 1 Ca 2.99
Cd 0.0000 0.5000 0.5000 (multiplicity 2)  4 Zn 2.75
Cd 0.0605 0.7963 0.5000 (multiplicity 8)  2 Zn 2.88, 2 Mg 3.07, 3 Cd 3.14-3.16

---

[2]
The following is a PBE calculation of Ca2Mg5Zn2Cd after structural relaxation, from Alexandria.

## Properties
- calculated density (g/cm³) = 3.1
- energy of formation from the pure elements (eV/atom) = -0.149

Lattice parameters (Å, degrees): 10.4728 10.4728 4.3690 90.00 90.00 90.00
With the nearest neighbours (Å) after each atom.
Space group P4/mbm (No. 127)
Inequivalent atoms, fractional coordinates:
Ca 0.1770 0.3230 0.0000 (multiplicity 4)  3 Zn 3.04-3.15
Mg 0.0000 0.5000 0.5000 (multiplicity 2)  4 Zn 2.79
Mg 0.0660 0.7932 0.5000 (multiplicity 8)  2 Zn 2.91, 3 Mg 3.15-3.22, 2 Cd 3.15
Zn 0.1177 0.6177 0.0000 (multiplicity 4)  6 Mg 2.79-2.91, 1 Ca 3.04
Cd 0.0000 0.0000 0.0000 (multiplicity 2)  8 Mg 3.15

---

[3]
The following is a PBE calculation of Ca2Mg12Zn3Cd after structural relaxation, from Alexandria.

## Properties
- calculated density (g/cm³) = 2.4
- energy of formation from the pure elements (eV/atom) = 0.113

Lattice parameters (Å, degrees): 6.6605 6.6605 36.2647 90.00 90.00 120.00
With the nearest neighbours (Å) after each atom.
Space group R-3m (No. 166, hexagonal axes)
Inequivalent atoms, fractional coordinates:
Ca 0.0000 0.0000 0.1382 (multiplicity 6)  12 Mg 3.48-3.67
Mg 0.0102 0.5051 0.8891 (multiplicity 18)  1 Cd 2.83, 2 Mg 3.00
Mg 0.0320 0.5160 0.6175 (multiplicity 18)  2 Zn 2.70, 4 Mg 3.00-3.01
Zn 0.0000 0.5000 0.0000 (multiplicity 9)  4 Mg 2.70
Cd 0.0000 0.0000 0.5000 (multiplicity 3)  6 Mg 2.83

---

[4]
The following is a PBE calculation of CaMn2Cd after structural relaxation, from Alexandria.

## Properties
- calculated density (g/cm³) = 5.0
- energy of formation from the pure elements (eV/atom) = 0.472

Lattice parameters (Å, degrees): 3.1352 4.6598 6.0701 90.00 102.98 90.00
With the nearest neighbours (Å) after each atom.
Space group P2/m (No. 10)
Inequivalent atoms, fractional coordinates:
Ca 0.0000 0.0000 0.0000 (multiplicity 1)  2 Cd 3.09, 2 Ca 3.14, 8 Mn 3.20-3.40
Mn 0.3064 0.5000 0.7075 (multiplicity 2)  2 Cd 2.78, 2 Mn 2.80-3.03
Cd 0.5000 0.0000 0.5000 (multiplicity 1)  4 Mn 2.78, 2 Ca 3.09

---

[5]
The following is a PBE calculation of CaMn2Cd2 after structural relaxation, from Alexandria.

## Properties
- calculated density (g/cm³) = 5.5
- energy of formation from the pure elements (eV/atom) = 0.318

Lattice parameters (Å, degrees): 4.3533 4.3533 12.0451 90.00 90.00 90.00
With the nearest neighbours (Å) after each atom.
Space group I4/mmm (No. 139)
Inequivalent atoms, fractional coordinates:
Ca 0.0000 0.0000 0.0000 (multiplicity 2)  8 Mn 3.32, 8 Cd 3.72
Mn 0.0000 0.0000 0.3961 (multiplicity 4)  1 Mn 2.50, 4 Cd 2.80
Cd 0.0000 0.5000 0.2500 (multiplicity 4)  4 Mn 2.80, 4 Cd 3.08

---

[6]
The following is a PBE calculation of CaMn2Cd after structural relaxation, from Alexandria.

## Properties
- calculated density (g/cm³) = 5.3
- energy of formation from the pure elements (eV/atom) = 0.525

Lattice parameters (Å, degrees): 6.0786 9.9421 3.0000 90.00 114.88 90.00
With the nearest neighbours (Å) after each atom.
Space group C2/m (No. 12)
Inequivalent atoms, fractional coordinates:
Ca 0.0000 0.0000 0.0000 (multiplicity 2)  4 Mn 2.97, 2 Ca 3.00, 4 Cd 3.04-3.25
Mn 0.2500 0.2500 0.5000 (multiplicity 4)  2 Cd 2.97, 2 Ca 2.97, 6 Mn 3.00-3.25
Cd 0.0000 0.5000 0.0000 (multiplicity 2)  4 Mn 2.97, 2 Cd 3.00, 4 Ca 3.04-3.25